Entry from the Alexandria database: a relaxed Na2SrVF8 crystal (PBE+U).

Computed properties:
Its theoretical density is 2.98 g/cm3. The calculation puts the total energy at -63.2 eV per formula unit. Its space group is No. 10. The magnetization is 0.09 μB/atom.

a = 4.940 Å, b = 7.173 Å, c = 5.295 Å
α = 90.00°, β = 91.71°, γ = 90.00°
Element x y z (fractional)
Na (0.000, 0.247, 0.000)
Na (0.000, 0.753, 0.000)
Sr (0.500, 0.000, 0.500)
V (0.500, 0.500, 0.500)
F (0.158, 0.000, 0.789)
F (0.230, 0.500, 0.732)
F (0.324, 0.305, 0.311)
F (0.324, 0.695, 0.311)
F (0.676, 0.305, 0.689)
F (0.676, 0.695, 0.689)
F (0.770, 0.500, 0.268)
F (0.842, 0.000, 0.211)